BaMn3Nb, optimized geometry, DFT PBE; energy above the lowest structure with this stoichiometry = 715 kJ/mol of formula units; spin magnetization = 8.0 μB per formula unit; energy of formation = 2323 meV/atom; energy = -0.4099 Ry per atom
1.0
5.0057 0.0000 0.0000
0.0000 5.0057 0.0000
0.0000 0.0000 5.0057
Ba Mn Nb
1 3 1
direct
0.0000 0.0000 0.0000
0.0000 0.0000 0.5000
0.0000 0.5000 0.0000
0.5000 0.0000 0.0000
0.5000 0.5000 0.5000


Zn7AgAu12, optimized geometry, DFT PBE; spin magnetization = 0.0 μB per formula unit; energy of formation = -110 meV/atom; energy = -0.1959 Ry per atom
1.0
6.1661 3.5600 2.6613
-6.1661 3.5600 2.6613
0.0000 -7.1200 2.6613
Zn Ag Au
7 1 12
direct
0.0000 0.0000 0.0000
0.0915 0.4472 0.2309
0.2309 0.0915 0.4472
0.4472 0.2309 0.0915
0.5528 0.7691 0.9085
0.7691 0.9085 0.5528
0.9085 0.5528 0.7691
0.5000 0.5000 0.5000
0.0642 0.2914 0.8540
0.1460 0.9358 0.7086
0.1756 0.4760 0.6151
0.2914 0.8540 0.0642
0.3849 0.8244 0.5240
0.4760 0.6151 0.1756
0.5240 0.3849 0.8244
0.6151 0.1756 0.4760
0.7086 0.1460 0.9358
0.8244 0.5240 0.3849
0.8540 0.0642 0.2914
0.9358 0.7086 0.1460


Ce2TlBr6, optimized geometry, DFT PBE; raw formation energy = -1331 kJ/mol of formula units; spin magnetization = 3.0 μB per formula unit; energy = -0.3109 Ry per atom
1.0
3.9929 2.3053 6.8554
-3.9929 2.3053 6.8554
0.0000 -4.6106 6.8554
Ce Tl Br
2 1 6
direct
0.0000 0.0000 0.0000
0.1835 0.1835 0.1835
0.4995 0.4995 0.4995
0.0772 0.8102 0.3877
0.2438 0.5887 0.9477
0.3877 0.0772 0.8102
0.5887 0.9477 0.2438
0.8102 0.3877 0.0772
0.9477 0.2438 0.5887


ZrSiAg, optimized geometry, DFT PBE; raw formation energy = -27 kJ/mol of formula units; spin magnetization = 0.0 μB per formula unit; energy = -0.4190 Ry per atom
1.0
3.0835 0.0000 0.0000
0.0000 3.0835 0.0000
0.0000 0.0000 11.4079
Zr Si Ag
2 2 2
direct
0.0000 0.0000 0.0000
0.5000 0.5000 0.5000
0.0000 0.0000 0.3402
0.5000 0.5000 0.8402
0.0000 0.0000 0.6919
0.5000 0.5000 0.1919


Cs6Sn3I14, optimized geometry, DFT PBE; raw formation energy = -2220 kJ/mol of formula units; spin magnetization = 0.0 μB per formula unit; energy = -0.1976 Ry per atom
1.0
14.3485 0.0000 0.0000
-7.1742 12.4262 0.0000
0.0000 0.0000 7.2656
Cs Sn I
6 3 14
direct
0.0071 0.5603 0.0000
0.3218 0.1063 0.5485
0.4397 0.4468 0.0000
0.5532 0.9929 0.0000
0.7845 0.6782 0.5485
0.8937 0.2155 0.5485
0.0000 0.0000 0.0055
0.3333 0.6667 0.4260
0.6667 0.3333 0.2823
0.0000 0.0000 0.4112
0.1133 0.2450 0.9581
0.1317 0.8867 0.9581
0.2067 0.4614 0.2792
0.2547 0.7933 0.2792
0.3333 0.6667 0.8092
0.4534 0.1921 0.0525
0.5124 0.4126 0.5052
0.5386 0.7453 0.2792
0.5874 0.0998 0.5052
0.7387 0.5466 0.0525
0.7550 0.8683 0.9581
0.8079 0.2613 0.0525
0.9002 0.4876 0.5052


HgP2IO, optimized geometry, DFT PBE; energy above the lowest structure with this stoichiometry = 39 kJ/mol of formula units; raw formation energy = 480 kJ/mol of formula units; spin magnetization = 0.8 μB per formula unit; energy = -0.1860 Ry per atom
1.0
5.1297 0.0000 0.0000
0.0000 5.1297 0.0000
0.0000 0.0000 4.1817
Hg P I O
1 2 1 1
direct
0.0000 0.0000 0.0000
0.0000 0.5000 0.0000
0.5000 0.0000 0.0000
0.5000 0.5000 0.5000
0.0000 0.0000 0.5000


Tc5Ru, optimized geometry, DFT PBE; energy above the lowest structure with this stoichiometry = 55 kJ/mol of formula units; spin magnetization = 0.0 μB per formula unit; energy of formation = 71 meV/atom; energy = -0.7433 Ry per atom
1.0
2.7314 0.0000 0.0000
0.0000 2.7314 0.0000
0.0000 0.0000 11.6724
Tc Ru
5 1
direct
0.0000 0.0000 0.0000
0.0000 0.0000 0.3358
0.0000 0.0000 0.6642
0.5000 0.5000 0.1666
0.5000 0.5000 0.8334
0.5000 0.5000 0.5000


KCu2AsAu, optimized geometry, DFT PBE; spin magnetization = 1.1 μB per formula unit; energy of formation = 725 meV/atom; energy = -0.1998 Ry per atom
1.0
4.8801 0.0000 0.0000
0.0000 4.8801 0.0000
0.0000 0.0000 5.7821
K Cu As Au
1 2 1 1
direct
0.0000 0.0000 0.0000
0.0000 0.5000 0.5000
0.5000 0.0000 0.5000
0.5000 0.5000 0.0000
0.0000 0.0000 0.5000


RbLiN2F, optimized geometry, DFT PBE; energy above the lowest structure with this stoichiometry = 307 kJ/mol of formula units; raw formation energy = 512 kJ/mol of formula units; spin magnetization = 5.0 μB per formula unit; energy = -0.2366 Ry per atom
1.0
5.4636 0.0000 0.0000
0.0000 5.4636 0.0000
0.0000 0.0000 5.0767
Rb Li N F
1 1 2 1
direct
0.0000 0.0000 0.0000
0.5000 0.5000 0.5000
0.0000 0.5000 0.0000
0.5000 0.0000 0.0000
0.0000 0.0000 0.5000


Cs3Y2HfS6, optimized geometry, DFT PBE; raw formation energy = -1939 kJ/mol of formula units; spin magnetization = 0.0 μB per formula unit; energy = -0.4306 Ry per atom
1.0
3.4591 -5.9917 0.0000
3.4591 5.9917 0.0000
-2.3091 0.0000 8.0676
Cs Y Hf S
3 2 1 6
direct
0.0000 0.0000 0.0000
0.3305 0.6695 0.0000
0.6695 0.3305 0.0000
0.1665 0.8335 0.5000
0.8335 0.1665 0.5000
0.5000 0.5000 0.5000
0.1248 0.4400 0.3203
0.2453 0.2453 0.6810
0.4400 0.1248 0.3203
0.5600 0.8752 0.6797
0.7547 0.7547 0.3190
0.8752 0.5600 0.6797


NaNb2ZnP, optimized geometry, DFT PBE; spin magnetization = 0.0 μB per formula unit; energy of formation = 1887 meV/atom; energy = -0.2750 Ry per atom
1.0
4.7206 0.0000 0.0000
0.0000 4.7206 0.0000
0.0000 0.0000 4.5434
Na Nb Zn P
1 2 1 1
direct
0.0000 0.0000 0.0000
0.0000 0.5000 0.0000
0.5000 0.0000 0.0000
0.5000 0.5000 0.5000
0.0000 0.0000 0.5000


Cd3Ga4Ag2, optimized geometry, DFT PBE; spin magnetization = 0.0 μB per formula unit; energy of formation = 19 meV/atom; energy = -0.1665 Ry per atom
1.0
5.2360 0.0000 0.0000
-2.5859 4.6016 0.0000
-0.0367 -3.0061 7.3245
Cd Ga Ag
3 4 2
direct
0.0000 0.0000 0.0000
0.2207 0.7813 0.6651
0.7793 0.2187 0.3349
0.3299 0.6488 0.0013
0.4689 0.5583 0.3357
0.5311 0.4417 0.6643
0.6701 0.3512 0.9987
0.1179 0.8877 0.3297
0.8821 0.1123 0.6703


Li3BeFe, optimized geometry, DFT PBE; energy above the lowest structure with this stoichiometry = 0 kJ/mol of formula units; spin magnetization = 0.0 μB per formula unit; energy of formation = 1121 meV/atom; energy = -0.1812 Ry per atom
1.0
4.2211 0.0000 0.0000
0.0000 4.2211 0.0000
0.0000 0.0000 4.2211
Li Be Fe
3 1 1
direct
0.0000 0.0000 0.5000
0.0000 0.5000 0.0000
0.5000 0.0000 0.0000
0.0000 0.0000 0.0000
0.5000 0.5000 0.5000


TePtCl3, optimized geometry, DFT PBE; energy above the lowest structure with this stoichiometry = 0 kJ/mol of formula units; raw formation energy = -153 kJ/mol of formula units; spin magnetization = 0.0 μB per formula unit; energy = -0.2398 Ry per atom
1.0
8.5326 0.0000 0.0000
0.0000 9.8965 0.0000
-2.3890 0.0000 8.2405
Te Pt Cl
4 4 12
direct
0.1634 0.0114 0.2946
0.1634 0.9886 0.7946
0.8366 0.0114 0.2054
0.8366 0.9886 0.7054
0.1642 0.2802 0.4117
0.1642 0.7198 0.9117
0.8358 0.2802 0.0883
0.8358 0.7198 0.5883
0.1160 0.3436 0.1375
0.1160 0.6564 0.6375
0.1948 0.2459 0.6827
0.1948 0.7541 0.1827
0.4361 0.2388 0.4475
0.4361 0.7612 0.9475
0.5639 0.2388 0.0525
0.5639 0.7612 0.5525
0.8052 0.2459 0.8173
0.8052 0.7541 0.3173
0.8840 0.3436 0.3625
0.8840 0.6564 0.8625


SrReBi2Cl, optimized geometry, DFT PBE; raw formation energy = 804 kJ/mol of formula units; spin magnetization = 3.2 μB per formula unit; energy = -0.2265 Ry per atom
1.0
6.1842 0.0000 0.0000
0.0000 6.1842 0.0000
0.0000 0.0000 5.8901
Sr Re Bi Cl
1 1 2 1
direct
0.0000 0.0000 0.0000
0.0000 0.0000 0.5000
0.0000 0.5000 0.0000
0.5000 0.0000 0.0000
0.5000 0.5000 0.5000


Hg5I3Br12, optimized geometry, DFT PBE; raw formation energy = -175 kJ/mol of formula units; spin magnetization = 5.2 μB per formula unit; energy = -0.1031 Ry per atom
1.0
-9.1549 9.1549 9.1549
9.1549 -9.1549 9.1549
9.1549 9.1549 -9.1549
Hg I Br
20 12 48
direct
0.0000 0.0000 0.0000
0.0000 0.0000 0.5000
0.0000 0.5000 0.0000
0.0000 0.5000 0.5000
0.1250 0.7500 0.8750
0.1250 0.8750 0.2500
0.2500 0.1250 0.8750
0.2500 0.6250 0.3750
0.3750 0.2500 0.6250
0.3750 0.6250 0.7500
0.5000 0.0000 0.0000
0.5000 0.0000 0.5000
0.5000 0.5000 0.0000
0.5000 0.5000 0.5000
0.6250 0.3750 0.2500
0.6250 0.7500 0.3750
0.7500 0.3750 0.6250
0.7500 0.8750 0.1250
0.8750 0.1250 0.7500
0.8750 0.2500 0.1250
0.1250 0.2500 0.3750
0.1250 0.3750 0.7500
0.2500 0.3750 0.1250
0.2500 0.8750 0.6250
0.3750 0.1250 0.2500
0.3750 0.7500 0.1250
0.6250 0.2500 0.8750
0.6250 0.8750 0.7500
0.7500 0.1250 0.3750
0.7500 0.6250 0.8750
0.8750 0.6250 0.2500
0.8750 0.7500 0.6250
0.0157 0.1921 0.1208
0.0157 0.3235 0.8949
0.0713 0.6921 0.6765
0.0713 0.8792 0.3949
0.1051 0.6208 0.4287
0.1051 0.9843 0.6765
0.1208 0.0157 0.1921
0.1208 0.6051 0.9287
0.1765 0.1921 0.5713
0.1765 0.4843 0.6051
0.1921 0.1208 0.0157
0.1921 0.5713 0.1765
0.3079 0.3235 0.9287
0.3079 0.4843 0.3792
0.3235 0.8949 0.0157
0.3235 0.9287 0.3079
0.3792 0.3079 0.4843
0.3792 0.5713 0.8949
0.3949 0.0713 0.8792
0.3949 0.8235 0.5157
0.4287 0.1051 0.6208
0.4287 0.8235 0.8079
0.4843 0.3792 0.3079
0.4843 0.6051 0.1765
0.5157 0.3949 0.8235
0.5157 0.6208 0.6921
0.5713 0.1765 0.1921
0.5713 0.8949 0.3792
0.6051 0.1765 0.4843
0.6051 0.9287 0.1208
0.6208 0.4287 0.1051
0.6208 0.6921 0.5157
0.6765 0.0713 0.6921
0.6765 0.1051 0.9843
0.6921 0.5157 0.6208
0.6921 0.6765 0.0713
0.8079 0.4287 0.8235
0.8079 0.8792 0.9843
0.8235 0.5157 0.3949
0.8235 0.8079 0.4287
0.8792 0.3949 0.0713
0.8792 0.9843 0.8079
0.8949 0.0157 0.3235
0.8949 0.3792 0.5713
0.9287 0.1208 0.6051
0.9287 0.3079 0.3235
0.9843 0.6765 0.1051
0.9843 0.8079 0.8792


K2CeNp2Se6, optimized geometry, DFT PBE; raw formation energy = -1477 kJ/mol of formula units; spin magnetization = 8.0 μB per formula unit; energy = -0.4692 Ry per atom
1.0
3.6661 -6.3803 0.0000
3.6661 6.3803 0.0000
-2.4257 0.0000 7.8109
K Ce Np Se
2 1 2 6
direct
0.1658 0.8342 0.0000
0.8342 0.1658 0.0000
0.0000 0.0000 0.5000
0.3340 0.6660 0.5000
0.6660 0.3340 0.5000
0.0639 0.4054 0.6994
0.2723 0.2723 0.2993
0.4054 0.0639 0.6994
0.5946 0.9361 0.3006
0.7277 0.7277 0.7007
0.9361 0.5946 0.3006